1.
# PBE-GGA K2YUTe4, relaxed
data_K2YUTe4
_chemical_formula_sum 'K2 Y1 U1 Te4'
_space_group_name_H-M_alt 'P 1 2/m 1'
_space_group_IT_number 10
_space_group_name_Hall '-P 2y'
_cell_length_a 7.8104
_cell_length_b 4.5103
_cell_length_c 8.6707
_cell_angle_alpha 90.00
_cell_angle_beta 107.51
_cell_angle_gamma 90.00
loop_
_atom_site_label
_atom_site_type_symbol
_atom_site_fract_x
_atom_site_fract_y
_atom_site_fract_z
_atom_site_occupancy
K1 K 0.0000 0.0000 0.0000 1
K2 K 0.5000 0.5000 0.0000 1
Y1 Y 0.0000 0.5000 0.5000 1
U1 U 0.5000 0.0000 0.5000 1
Te1 Te 0.2340 0.0000 0.7102 1
Te2 Te 0.2604 0.5000 0.2887 1
# - Crystal system: monoclinic
# - E_form (uncorrected): -1117 meV/atom
# - Total moment: 0.376 μB per atom
# - VASP energy: -5.181 eV per atom

=====

2.
# PBE-GGA Ba4AcZn5, relaxed
data_Ba4AcZn5
_chemical_formula_sum 'Ba4 Ac1 Zn5'
_space_group_name_H-M_alt 'P 4/m m m'
_space_group_IT_number 123
_space_group_name_Hall '-P 4 2'
_cell_length_a 4.0586
_cell_length_b 4.0586
_cell_length_c 20.4299
_cell_angle_alpha 90.00
_cell_angle_beta 90.00
_cell_angle_gamma 90.00
loop_
_atom_site_label
_atom_site_type_symbol
_atom_site_fract_x
_atom_site_fract_y
_atom_site_fract_z
_atom_site_occupancy
Ba1 Ba 0.0000 0.0000 0.1018 1
Ba2 Ba 0.0000 0.0000 0.3054 1
Ac1 Ac 0.0000 0.0000 0.5000 1
Zn1 Zn 0.5000 0.5000 0.0000 1
Zn2 Zn 0.5000 0.5000 0.2028 1
Zn3 Zn 0.5000 0.5000 0.4127 1
# - Crystal system: tetragonal
# - Formation enthalpy at 0 K: -0.18 eV per atom
# - Total moment: 0.000 μB per atom
# - VASP energy: -1.996 eV per atom

=====

3.
# PBE-GGA LiErZr2, relaxed
data_LiErZr2
_chemical_formula_sum 'Li3 Er3 Zr6'
_space_group_name_H-M_alt 'R -3 m'
_space_group_IT_number 166
_space_group_name_Hall '-R 3 2"'
_cell_length_a 3.1745
_cell_length_b 3.1745
_cell_length_c 34.4194
_cell_angle_alpha 90.00
_cell_angle_beta 90.00
_cell_angle_gamma 120.00
loop_
_atom_site_label
_atom_site_type_symbol
_atom_site_fract_x
_atom_site_fract_y
_atom_site_fract_z
_atom_site_occupancy
Li1 Li 0.0000 0.0000 0.0000 1
Er1 Er 0.0000 0.0000 0.5000 1
Zr1 Zr 0.0000 0.0000 0.0873 1
# - Crystal system: trigonal
# - Formation enthalpy at 0 K: 0.28 eV per atom
# - Total moment: 0.000 μB per atom
# - VASP energy: -5.613 eV per atom